A relaxed structure of NaCo2SiAg, computed with GGA-PBE.

Summary:
Raw total energy, eV per cell: -15.0
Total magnetic moment, μB per cell: 3.26
Raw formation energy, meV per atom: 1763

Cell and atoms, written as POSCAR:
```
NaCo2SiAg
1.0
4.4583 0.0000 0.0000
0.0000 4.4583 0.0000
0.0000 0.0000 4.6163
Na Co Si Ag
1 2 1 1
direct
0.0000 0.0000 0.0000
0.0000 0.5000 0.0000
0.5000 0.0000 0.0000
0.5000 0.5000 0.5000
0.0000 0.0000 0.5000
```